First-principles (PBE) data for Sm2Tl2Cd after structural relaxation, as listed in the Alexandria database. Values from VASP.

Geometry as Quantum ESPRESSO input:
```
&SYSTEM
  ibrav = 0, nat = 10, ntyp = 3
/
ATOMIC_SPECIES
Sm 150.36 Sm.upf
Tl 204.38 Tl.upf
Cd 112.41 Cd.upf
ATOMIC_POSITIONS angstrom
Sm 1.3283 2.6115 0.0000
Sm 2.6115 6.5512 0.0000
Sm 5.2680 1.3283 0.0000
Sm 6.5512 5.2680 0.0000
Tl 1.0755 5.0153 2.3011
Tl 2.8642 1.0755 2.3011
Tl 5.0153 6.8039 2.3011
Tl 6.8039 2.8642 2.3011
Cd 0.0000 0.0000 2.3011
Cd 3.9397 3.9397 2.3011
CELL_PARAMETERS angstrom
7.8795 0.0000 0.0000
0.0000 7.8795 0.0000
0.0000 0.0000 4.6022
```

Computed properties:
raw total energy: -33.23 eV/cell
formation energy from the elements: -0.31 eV per atom
space-group type: No. 127

=====

First-principles (PBE) data for BeTcTe2 after structural relaxation, as listed in the Alexandria database. Values from VASP.

Geometry as Quantum ESPRESSO input:
```
&SYSTEM
  ibrav = 0, nat = 4, ntyp = 3
/
ATOMIC_SPECIES
Be 9.01 Be.upf
Tc 98.00 Tc.upf
Te 127.60 Te.upf
ATOMIC_POSITIONS angstrom
Be 0.0000 0.0000 0.0000
Tc 3.0554 0.0000 0.0000
Te 1.5147 1.8075 1.6807
Te 1.5147 -1.8075 1.6807
CELL_PARAMETERS angstrom
3.0554 -3.6150 0.0000
3.0554 3.6150 0.0000
-0.0260 0.0000 3.3615
```

Computed properties:
raw total energy: -17.72 eV/cell
energy relative to the elements, uncorrected: 0.665 eV/atom
space-group type: No. 12

=====

First-principles (PBE) data for SrNdO after structural relaxation, as listed in the Alexandria database. Values from VASP.

Geometry as Quantum ESPRESSO input:
```
&SYSTEM
  ibrav = 0, nat = 6, ntyp = 3
/
ATOMIC_SPECIES
Sr 87.62 Sr.upf
Nd 144.24 Nd.upf
O 16.00 O.upf
ATOMIC_POSITIONS angstrom
Sr 1.5792 0.0000 0.0000
Sr 11.6180 0.0000 0.0000
Nd 5.0007 0.0000 4.1958
Nd 8.1965 0.0000 4.1958
O 0.0000 0.0000 4.2087
O 6.5986 0.0000 6.3006
CELL_PARAMETERS angstrom
13.1972 0.0000 0.0000
0.0000 1.8230 3.1567
0.0000 -1.8230 3.1567
```

Computed properties:
raw total energy: -31.44 eV/cell
energy relative to the elements, uncorrected: -1.437 eV/atom
space-group type: No. 38

=====

First-principles (PBE) data for Pm2Pr5Dy12 after structural relaxation, as listed in the Alexandria database. Values from VASP.

Geometry as Quantum ESPRESSO input:
```
&SYSTEM
  ibrav = 0, nat = 19, ntyp = 3
/
ATOMIC_SPECIES
Pm 145.00 Pm.upf
Pr 140.91 Pr.upf
Dy 162.50 Dy.upf
ATOMIC_POSITIONS angstrom
Pm 9.1454 2.6640 0.0000
Pm 9.1454 -2.6640 0.0000
Pr 3.0798 0.0000 1.6374
Pr 2.3839 0.0000 6.7154
Pr 7.6741 0.0000 4.2959
Pr 12.9643 0.0000 1.8763
Pr 12.2684 0.0000 6.9543
Dy -1.8019 0.0000 5.8131
Dy 4.7728 1.9133 4.5409
Dy 6.2278 1.6479 1.2362
Dy 10.5754 1.9133 4.0508
Dy 9.1205 1.6479 7.3556
Dy 5.7707 0.0000 7.0926
Dy 9.5775 0.0000 1.4992
Dy 6.2278 -1.6479 1.2362
Dy 4.7728 -1.9133 4.5409
Dy 9.1205 -1.6479 7.3556
Dy 10.5754 -1.9133 4.0508
Dy 17.1501 0.0000 2.7786
CELL_PARAMETERS angstrom
9.1454 -4.1110 0.0000
9.1454 4.1110 0.0000
-2.9426 0.0000 8.5917
```

Computed properties:
raw total energy: -84.50 eV/cell
formation energy from the elements: 0.22 eV per atom
space-group type: No. 12

=====

First-principles (PBE) data for Ba2ZrBr after structural relaxation, as listed in the Alexandria database. Values from VASP.

Geometry as Quantum ESPRESSO input:
```
&SYSTEM
  ibrav = 0, nat = 4, ntyp = 3
/
ATOMIC_SPECIES
Ba 137.33 Ba.upf
Zr 91.22 Zr.upf
Br 79.90 Br.upf
ATOMIC_POSITIONS angstrom
Ba 0.0000 0.0000 0.0000
Ba 2.1171 2.1171 2.1171
Zr 4.2343 4.2343 4.2343
Br 6.3514 6.3514 6.3514
CELL_PARAMETERS angstrom
0.0000 4.2343 4.2343
4.2343 0.0000 4.2343
4.2343 4.2343 0.0000
```

Computed properties:
raw total energy: -12.72 eV/cell
energy relative to the elements, uncorrected: 0.336 eV/atom
space-group type: No. 216

=====

First-principles (PBE) data for Ho2CuBi after structural relaxation, as listed in the Alexandria database. Values from VASP.

Geometry as Quantum ESPRESSO input:
```
&SYSTEM
  ibrav = 0, nat = 8, ntyp = 3
/
ATOMIC_SPECIES
Ho 164.93 Ho.upf
Cu 63.55 Cu.upf
Bi 208.98 Bi.upf
ATOMIC_POSITIONS angstrom
Ho -0.0733 1.0527 3.1948
Ho 1.3779 3.1580 0.4272
Ho 1.9113 1.0527 7.4222
Ho 3.3625 3.1580 4.6546
Cu -1.4929 1.0527 6.2113
Cu 4.7821 3.1580 1.6381
Bi 0.3307 3.1580 5.5715
Bi 2.9585 1.0527 2.2779
CELL_PARAMETERS angstrom
6.1567 0.0000 0.0000
0.0000 4.2106 0.0000
-2.8675 0.0000 7.8494
```

Computed properties:
raw total energy: -37.97 eV/cell
formation energy from the elements: -0.46 eV per atom
space-group type: No. 11

=====

First-principles (PBE) data for NdSmTm14 after structural relaxation, as listed in the Alexandria database. Values from VASP.

Geometry as Quantum ESPRESSO input:
```
&SYSTEM
  ibrav = 0, nat = 16, ntyp = 3
/
ATOMIC_SPECIES
Nd 144.24 Nd.upf
Sm 150.36 Sm.upf
Tm 168.93 Tm.upf
ATOMIC_POSITIONS angstrom
Nd 0.0000 0.0000 0.0000
Sm 0.0000 0.0000 4.9615
Tm 0.0000 -1.6478 8.0403
Tm 0.0000 1.6478 8.0403
Tm 2.6074 0.0000 2.2611
Tm 2.7873 -2.3221 4.7450
Tm 2.7873 2.3221 4.7450
Tm 2.9553 0.0000 7.2422
Tm 5.5014 -2.3609 7.0731
Tm 5.5014 0.0000 4.5320
Tm 5.5014 0.0000 9.5449
Tm 5.5014 2.3609 7.0731
Tm 8.0475 0.0000 7.2422
Tm 8.2155 -2.3221 4.7450
Tm 8.2155 2.3221 4.7450
Tm 8.3954 0.0000 2.2611
CELL_PARAMETERS angstrom
11.0028 0.0000 0.0000
0.0000 4.0147 5.5710
0.0000 -4.0147 5.5710
```

Computed properties:
raw total energy: -71.12 eV/cell
formation energy from the elements: 0.06 eV per atom
space-group type: No. 38

=====

First-principles (PBE) data for Tl3Hg5Sb2 after structural relaxation, as listed in the Alexandria database. Values from VASP.

Geometry as Quantum ESPRESSO input:
```
&SYSTEM
  ibrav = 0, nat = 20, ntyp = 3
/
ATOMIC_SPECIES
Tl 204.38 Tl.upf
Hg 200.59 Hg.upf
Sb 121.76 Sb.upf
ATOMIC_POSITIONS angstrom
Tl 5.2397 5.9882 5.3384
Tl 3.8783 2.7151 2.8814
Tl 6.7836 2.7151 0.6775
Tl 3.7871 -2.7151 6.4403
Tl 6.6923 -2.7151 4.2364
Tl 5.3309 -5.9882 1.7795
Hg 1.1866 1.8528 4.7216
Hg 2.7203 0.6059 0.2861
Hg 1.2778 -1.8528 1.1627
Hg 2.6291 -0.6059 3.8451
Hg 5.2397 0.3131 5.3384
Hg 5.3309 -0.3131 1.7795
Hg 7.9415 0.6059 3.2728
Hg 9.2928 1.8528 5.9552
Hg 7.8503 -0.6059 6.8317
Hg 9.3840 -1.8528 2.3963
Sb 3.5068 3.3073 6.3128
Sb 6.9725 3.3073 4.3640
Sb 3.5981 -3.3073 2.7539
Sb 7.0638 -3.3073 0.8051
CELL_PARAMETERS angstrom
5.3765 -7.8536 0.0000
5.3765 7.8536 0.0000
-0.1825 0.0000 7.1179
```

Computed properties:
raw total energy: -33.21 eV/cell
energy relative to the elements, uncorrected: 0.025 eV/atom
space-group type: No. 15

=====

The highest raw total energy belongs to which entry?
Ba2ZrBr

=====

raw total energy of number 7 (NdSmTm14)?
-71.12 eV/cell

=====

Look up the raw total energy of the seventh one.
-71.12 eV/cell